Density functional theory data (PBE) for a geometry-optimized VOs structure.

As for the formation energy: 130.5 kJ per mole of atoms. The value obtained for the density of states at the Fermi level is 1.2484 states/eV per atom. As for the space-group type: F-43m (216).

a b c (Å): 5.484 5.484 5.484
angles (deg): 90.00 90.00 90.00
Sites, in units of the cell vectors:
Os  0.000  0.500  0.500
V  0.250  0.750  0.750
Os  0.500  0.000  0.500
V  0.750  0.750  0.250
V  0.250  0.250  0.250
Os  0.000  0.000  0.000
V  0.750  0.250  0.750
Os  0.500  0.500  0.000

***

Density functional theory data (PBE) for a geometry-optimized V7Os structure.

As for the formation energy: -19.7 kJ per mole of atoms. The value obtained for the density of states at the Fermi level is 1.2155 states/eV per atom. As for the space-group type: I4/mmm (139).

a b c (Å): 4.239 4.239 6.698
angles (deg): 108.45 108.45 90.00
Sites, in units of the cell vectors:
V  0.375  0.875  0.750
V  0.625  0.125  0.250
V  0.125  0.625  0.250
Os  0.000  0.000  0.000
V  0.500  0.500  0.000
V  0.746  0.746  0.493
V  0.875  0.375  0.750
V  0.254  0.254  0.507

***

Density functional theory data (PBE) for a geometry-optimized V4Os structure.

The calculation puts the energy above the most stable polymorph in this dataset at 227 meV per atom. As for the formation energy: -8.3 kJ per mole of atoms. The value obtained for the density of states at the Fermi level is 1.1493 states/eV per atom. As for the space-group type: Fddd (70).

a b c (Å): 5.033 5.033 6.794
angles (deg): 100.54 100.54 120.42
Sites, in units of the cell vectors:
Os  0.230  0.230  0.000
V  0.881  0.381  0.302
Os  0.480  0.980  0.500
V  0.430  0.430  0.399
V  0.680  0.180  0.899
V  0.631  0.631  0.802
V  0.080  0.580  0.698
V  0.830  0.830  0.198
V  0.281  0.781  0.101
V  0.031  0.031  0.601

***

Density functional theory data (PBE) for a geometry-optimized VOs structure.

As for the formation energy: -14.4 kJ per mole of atoms. The value obtained for the density of states at the Fermi level is 0.7767 states/eV per atom. As for the space-group type: P4/nmm (129).

a b c (Å): 4.245 4.245 6.198
angles (deg): 90.00 90.00 90.00
Sites, in units of the cell vectors:
Os  0.500  0.500  0.000
Os  0.000  0.500  0.709
V  0.000  0.500  0.239
V  0.000  0.000  0.500
V  0.500  0.500  0.500
V  0.500  0.000  0.761
Os  0.500  0.000  0.291
Os  0.000  0.000  0.000

***

Density functional theory data (PBE) for a geometry-optimized V3Os structure.

As for the formation energy: 3.7 kJ per mole of atoms. The value obtained for the density of states at the Fermi level is 1.8571 states/eV per atom. As for the space-group type: Pm-3m (221).

a b c (Å): 3.823 3.823 3.823
angles (deg): 90.00 90.00 90.00
Sites, in units of the cell vectors:
V  0.500  0.500  0.000
V  0.500  0.000  0.500
Os  0.000  0.000  0.000
V  0.000  0.500  0.500

***

Density functional theory data (PBE) for a geometry-optimized VOs structure.

As for the formation energy: 150.5 kJ per mole of atoms. The value obtained for the density of states at the Fermi level is 1.2924 states/eV per atom. As for the space-group type: I-43m (217).

a b c (Å): 7.444 7.444 7.444
angles (deg): 90.00 90.00 90.00
Sites, in units of the cell vectors:
V  0.187  0.187  0.187
Os  0.366  0.634  0.634
Os  0.866  0.866  0.866
V  0.687  0.687  0.687
Os  0.134  0.866  0.134
Os  0.866  0.134  0.134
V  0.313  0.313  0.687
V  0.313  0.687  0.313
V  0.813  0.187  0.813
Os  0.634  0.366  0.634
Os  0.366  0.366  0.366
Os  0.134  0.134  0.866
V  0.687  0.313  0.313
V  0.187  0.813  0.813
V  0.813  0.813  0.187
Os  0.634  0.634  0.366

***

Density functional theory data (PBE) for a geometry-optimized V4Os structure.

The calculation puts the energy above the most stable polymorph in this dataset at 218 meV per atom. As for the formation energy: -9.1 kJ per mole of atoms. The value obtained for the density of states at the Fermi level is 1.3109 states/eV per atom. As for the space-group type: Fmmm (69).

a b c (Å): 10.552 10.430 2.666
angles (deg): 85.31 80.10 14.58
Sites, in units of the cell vectors:
V  0.799  0.799  0.201
Os  0.000  0.000  0.000
V  0.399  0.399  0.601
V  0.201  0.201  0.799
V  0.601  0.601  0.399

***

Density functional theory data (PBE) for a geometry-optimized VOs structure.

As for the formation energy: -2.0 kJ per mole of atoms. The value obtained for the density of states at the Fermi level is 0.7317 states/eV per atom. As for the space-group type: I4/mmm (139).

a b c (Å): 8.787 8.787 2.993
angles (deg): 90.00 90.00 90.00
Sites, in units of the cell vectors:
Os  0.662  0.662  0.000
Os  0.838  0.162  0.500
Os  0.838  0.838  0.500
Os  0.162  0.838  0.500
V  0.500  0.832  0.500
V  0.332  0.000  0.000
V  0.668  0.000  0.000
Os  0.338  0.338  0.000
V  0.832  0.500  0.500
Os  0.662  0.338  0.000
Os  0.338  0.662  0.000
V  0.000  0.332  0.000
Os  0.162  0.162  0.500
V  0.000  0.668  0.000
V  0.500  0.168  0.500
V  0.168  0.500  0.500

***

Density functional theory data (PBE) for a geometry-optimized VOs structure.

As for the formation energy: 63.8 kJ per mole of atoms. The value obtained for the density of states at the Fermi level is 1.0099 states/eV per atom. As for the space-group type: P4_2/mnm (136).

a b c (Å): 5.034 5.034 4.859
angles (deg): 90.00 90.00 90.00
Sites, in units of the cell vectors:
Os  0.700  0.700  0.000
V  0.702  0.702  0.500
V  0.298  0.298  0.500
V  0.202  0.798  0.000
V  0.798  0.202  0.000
Os  0.200  0.800  0.500
Os  0.800  0.200  0.500
Os  0.300  0.300  0.000

***

Density functional theory data (PBE) for a geometry-optimized VOs structure.

As for the formation energy: 24.3 kJ per mole of atoms. The value obtained for the density of states at the Fermi level is 0.8814 states/eV per atom. As for the space-group type: P6_3/m (176).

a b c (Å): 7.072 7.072 4.315
angles (deg): 90.00 90.00 120.00
Sites, in units of the cell vectors:
V  0.949  0.737  0.250
Os  0.531  0.638  0.250
Os  0.362  0.893  0.250
V  0.263  0.212  0.250
Os  0.469  0.362  0.750
V  0.051  0.263  0.750
Os  0.638  0.107  0.750
V  0.737  0.788  0.750
Os  0.107  0.469  0.250
V  0.212  0.949  0.750
Os  0.893  0.531  0.750
V  0.788  0.051  0.250

***

Density functional theory data (PBE) for a geometry-optimized VOs structure.

As for the formation energy: 155.3 kJ per mole of atoms. The value obtained for the density of states at the Fermi level is 1.2994 states/eV per atom. As for the space-group type: Pm-3n (223).

a b c (Å): 6.733 6.733 6.733
angles (deg): 90.00 90.00 90.00
Sites, in units of the cell vectors:
V  0.500  0.000  0.250
V  0.250  0.500  0.000
Os  0.500  0.750  0.000
V  0.000  0.750  0.500
V  0.000  0.250  0.500
Os  0.250  0.000  0.500
Os  0.000  0.500  0.250
Os  0.500  0.250  0.000
V  0.500  0.000  0.750
V  0.750  0.500  0.000
Os  0.000  0.500  0.750
Os  0.750  0.000  0.500

***

Density functional theory data (PBE) for a geometry-optimized VOs structure.

As for the formation energy: 72.2 kJ per mole of atoms. The value obtained for the density of states at the Fermi level is 1.1111 states/eV per atom. As for the space-group type: Fm-3m (225).

a b c (Å): 4.995 4.995 4.995
angles (deg): 90.00 90.00 90.00
Sites, in units of the cell vectors:
V  0.500  0.500  0.000
V  0.500  0.000  0.500
Os  0.000  0.500  0.000
V  0.000  0.000  0.000
Os  0.000  0.000  0.500
Os  0.500  0.000  0.000
V  0.000  0.500  0.500
Os  0.500  0.500  0.500

***

Density functional theory data (PBE) for a geometry-optimized V5Os structure.

The calculation puts the energy above the most stable polymorph in this dataset at 0 meV per atom. As for the formation energy: -25.5 kJ per mole of atoms. The value obtained for the density of states at the Fermi level is 1.1418 states/eV per atom. As for the space-group type: Cmmm (65).

a b c (Å): 4.236 4.236 4.973
angles (deg): 90.00 64.79 90.00
Sites, in units of the cell vectors:
Os  0.000  0.500  0.500
V  0.665  0.500  0.170
V  0.832  0.000  0.835
V  0.335  0.500  0.830
V  0.168  0.000  0.165
V  0.500  0.000  0.500

***

Density functional theory data (PBE) for a geometry-optimized V13Os3 structure.

As for the formation energy: -23.6 kJ per mole of atoms. The value obtained for the density of states at the Fermi level is 0.8111 states/eV per atom. As for the space-group type: Amm2 (38).

a b c (Å): 6.000 6.000 5.991
angles (deg): 90.00 90.00 90.39
Sites, in units of the cell vectors:
V  0.498  0.502  0.749
Os  0.003  0.997  0.748
V  0.254  0.251  0.500
V  0.749  0.746  0.500
Os  0.003  0.997  0.252
V  0.498  0.502  0.251
Os  0.742  0.258  0.000
V  0.252  0.748  0.000
V  0.254  0.746  0.500
V  0.999  0.500  0.250
V  0.751  0.249  0.500
V  0.249  0.250  0.000
V  0.500  0.001  0.750
V  0.500  0.001  0.250
V  0.999  0.500  0.750
V  0.750  0.751  0.000

***

Density functional theory data (PBE) for a geometry-optimized V5Os structure.

The calculation puts the energy above the most stable polymorph in this dataset at 28 meV per atom. As for the formation energy: -22.8 kJ per mole of atoms. The value obtained for the density of states at the Fermi level is 1.1738 states/eV per atom. As for the space-group type: Cmmm (65).

a b c (Å): 2.984 4.285 6.675
angles (deg): 108.72 90.00 90.00
Sites, in units of the cell vectors:
V  0.000  0.333  0.666
Os  0.000  0.000  0.000
V  0.500  0.832  0.664
V  0.500  0.500  0.000
V  0.000  0.667  0.334
V  0.500  0.168  0.336

***

Density functional theory data (PBE) for a geometry-optimized VOs structure.

As for the formation energy: -9.0 kJ per mole of atoms. The value obtained for the density of states at the Fermi level is 1.0471 states/eV per atom. As for the space-group type: Pmmn (59).

a b c (Å): 2.987 4.219 13.314
angles (deg): 90.00 90.00 90.00
Sites, in units of the cell vectors:
V  0.000  0.001  0.000
V  0.000  0.000  0.333
Os  0.000  0.519  0.500
Os  0.500  0.480  0.333
Os  0.500  0.480  0.667
V  0.500  0.000  0.167
Os  0.000  0.520  0.167
Os  0.500  0.481  0.000
V  0.500  0.000  0.833
V  0.500  0.999  0.500
Os  0.000  0.520  0.833
V  0.000  0.000  0.667

***

Density functional theory data (PBE) for a geometry-optimized VOs structure.

As for the formation energy: 82.5 kJ per mole of atoms. The value obtained for the density of states at the Fermi level is 0.7927 states/eV per atom. As for the space-group type: P6_3/mmc (194).

a b c (Å): 4.159 4.159 4.952
angles (deg): 90.00 90.00 120.00
Sites, in units of the cell vectors:
Os  0.667  0.333  0.250
V  0.333  0.667  0.250
Os  0.333  0.667  0.750
V  0.667  0.333  0.750

***

Density functional theory data (PBE) for a geometry-optimized VOs structure.

As for the formation energy: 20.8 kJ per mole of atoms. The value obtained for the density of states at the Fermi level is 0.7587 states/eV per atom. As for the space-group type: P4/mcc (124).

a b c (Å): 7.363 7.363 4.552
angles (deg): 90.00 90.00 90.00
Sites, in units of the cell vectors:
Os  0.907  0.744  0.000
Os  0.907  0.256  0.500
V  0.568  0.207  0.500
Os  0.093  0.744  0.500
Os  0.256  0.093  0.500
Os  0.744  0.093  0.000
V  0.568  0.793  0.000
V  0.207  0.568  0.000
Os  0.256  0.907  0.000
V  0.432  0.793  0.500
V  0.793  0.432  0.000
V  0.793  0.568  0.500
V  0.207  0.432  0.500
Os  0.093  0.256  0.000
V  0.432  0.207  0.000
Os  0.744  0.907  0.500

***

Density functional theory data (PBE) for a geometry-optimized V8Os structure.

As for the formation energy: -16.3 kJ per mole of atoms. The value obtained for the density of states at the Fermi level is 1.3267 states/eV per atom. As for the space-group type: I4/mmm (139).

a b c (Å): 2.980 6.552 6.552
angles (deg): 87.04 76.86 76.86
Sites, in units of the cell vectors:
V  0.335  0.665  0.665
Os  0.000  0.000  0.000
V  0.667  0.665  0.000
V  0.333  0.000  0.335
V  0.333  0.335  0.000
V  0.000  0.665  0.335
V  0.665  0.335  0.335
V  0.667  0.000  0.665
V  0.000  0.335  0.665

***

Density functional theory data (PBE) for a geometry-optimized V3Os structure.

As for the formation energy: -33.0 kJ per mole of atoms. The value obtained for the density of states at the Fermi level is 0.3642 states/eV per atom. As for the space-group type: P4/mmm (123).

a b c (Å): 2.986 4.253 4.253
angles (deg): 90.00 90.00 90.00
Sites, in units of the cell vectors:
V  0.500  0.500  0.917
V  0.000  0.000  0.917
Os  0.000  0.500  0.417
V  0.500  0.000  0.417

***

Density functional theory data (PBE) for a geometry-optimized V5Os structure.

The calculation puts the energy above the most stable polymorph in this dataset at 53 meV per atom. As for the formation energy: -20.4 kJ per mole of atoms. The value obtained for the density of states at the Fermi level is 1.0667 states/eV per atom. As for the space-group type: P4/mmm (123).

a b c (Å): 2.991 2.991 9.045
angles (deg): 90.00 90.00 90.00
Sites, in units of the cell vectors:
V  0.500  0.500  0.835
V  0.000  0.000  0.670
Os  0.500  0.500  0.500
V  0.000  0.000  0.000
V  0.000  0.000  0.330
V  0.500  0.500  0.165

***

Density functional theory data (PBE) for a geometry-optimized V3Os structure.

As for the formation energy: -7.3 kJ per mole of atoms. The value obtained for the density of states at the Fermi level is 0.9274 states/eV per atom. As for the space-group type: I4/mmm (139).

a b c (Å): 3.552 3.552 5.058
angles (deg): 110.56 110.56 90.00
Sites, in units of the cell vectors:
V  0.500  0.500  0.000
V  0.250  0.750  0.500
Os  0.000  0.000  0.000
V  0.750  0.250  0.500

***

Density functional theory data (PBE) for a geometry-optimized V13Os2 structure.

As for the formation energy: 55.0 kJ per mole of atoms. The value obtained for the density of states at the Fermi level is 1.3190 states/eV per atom. As for the space-group type: R-3m (166).

a b c (Å): 6.645 6.645 7.502
angles (deg): 63.71 63.71 60.00
Sites, in units of the cell vectors:
V  0.000  0.610  0.780
V  0.000  0.390  0.220
V  0.132  0.744  0.381
V  0.744  0.132  0.381
V  0.610  0.000  0.780
Os  0.369  0.369  0.894
Os  0.631  0.631  0.106
V  0.390  0.000  0.220
V  0.610  0.610  0.780
V  0.868  0.256  0.619
V  0.500  0.500  0.500
V  0.390  0.390  0.220
V  0.256  0.256  0.619
V  0.256  0.868  0.619
V  0.744  0.744  0.381